A plane-wave DFT calculation with GGA-PBE was carried out for Tb5Cd4Au after structural relaxation.

CIF file:
```
data_Tb5Cd4Au
_cell_length_a 3.7166
_cell_length_b 3.7166
_cell_length_c 18.7449
_cell_angle_alpha 90.00
_cell_angle_beta 90.00
_cell_angle_gamma 90.00
_symmetry_space_group_name_H-M 'P 1'
_symmetry_Int_Tables_number 1
loop_
_symmetry_equiv_pos_as_xyz
'x,y,z'
loop_
_atom_site_label
_atom_site_type_symbol
_atom_site_fract_x
_atom_site_fract_y
_atom_site_fract_z
Tb1 Tb 0.5000 0.5000 0.7039
Tb2 Tb 0.5000 0.5000 0.0920
Tb3 Tb 0.5000 0.5000 0.2961
Tb4 Tb 0.5000 0.5000 0.5000
Tb5 Tb 0.5000 0.5000 0.9080
Cd1 Cd 0.0000 0.0000 0.1972
Cd2 Cd 0.0000 0.0000 0.6018
Cd3 Cd 0.0000 0.0000 0.8028
Cd4 Cd 0.0000 0.0000 0.3982
Au1 Au 0.0000 0.0000 0.0000
```

Output
**Space-group type**: P4/mmm (123)
**ΔH_f (0 K)**: -41 kJ/mol of atoms

---

A plane-wave DFT calculation with GGA-PBE was carried out for Tb3CdAu after structural relaxation.

CIF file:
```
data_Tb3CdAu
_cell_length_a 3.7894
_cell_length_b 9.3939
_cell_length_c 9.3952
_cell_angle_alpha 63.93
_cell_angle_beta 90.00
_cell_angle_gamma 90.00
_symmetry_space_group_name_H-M 'P 1'
_symmetry_Int_Tables_number 1
loop_
_symmetry_equiv_pos_as_xyz
'x,y,z'
loop_
_atom_site_label
_atom_site_type_symbol
_atom_site_fract_x
_atom_site_fract_y
_atom_site_fract_z
Cd1 Cd 0.8633 0.1942 0.2466
Cd2 Cd 0.3631 0.6941 0.7463
Tb1 Tb 0.3633 0.3556 0.4080
Tb2 Tb 0.8628 0.7809 0.4367
Tb3 Tb 0.8637 0.3846 0.8330
Tb4 Tb 0.8628 0.6070 0.0562
Tb5 Tb 0.3633 0.0331 0.0853
Tb6 Tb 0.8636 0.0037 0.6596
Au1 Au 0.3637 0.1939 0.7466
Au2 Au 0.3627 0.6943 0.2461
```

Output
**Space-group type**: Cmmm (65)
**ΔH_f (0 K)**: -26 kJ/mol of atoms

---

Question: ΔH_f (0 K) of number 2 (Tb3CdAu)?
Answer: -26 kJ/mol of atoms